<A>
Below is an optimized crystal structure of MoOs3W, with properties calculated at the PBE-GGA level.

Structure (CIF):
```
data_MoOs3W
_cell_length_a 6.762
_cell_length_b 5.522
_cell_length_c 9.188
_cell_angle_alpha 90.00
_cell_angle_beta 118.84
_cell_angle_gamma 90.00
_symmetry_space_group_name_H-M 'P 1 21/c 1'
_symmetry_Int_Tables_number 14
loop_
_symmetry_equiv_pos_as_xyz
'x,y,z'
'-x,-y,-z'
'-x,y+1/2,-z+1/2'
'x,-y+1/2,z+1/2'
loop_
_atom_site_label
_atom_site_type_symbol
_atom_site_fract_x
_atom_site_fract_y
_atom_site_fract_z
Mo1 Mo 0.191 0.127 0.038
Os1 Os 0.001 0.123 0.253
Os2 Os 0.198 0.621 0.050
Os3 Os 0.399 0.121 0.848
W1 W 0.393 0.630 0.844
```

<B>
Below is an optimized crystal structure of MoOs3W, with properties calculated at the PBE-GGA level.

Structure (CIF):
```
data_MoOs3W
_cell_length_a 4.653
_cell_length_b 4.653
_cell_length_c 4.653
_cell_angle_alpha 90.00
_cell_angle_beta 90.00
_cell_angle_gamma 90.00
_symmetry_space_group_name_H-M 'P m -3 m'
_symmetry_Int_Tables_number 221
_symmetry_space_group_name_Hall '-P 4 2 3'
loop_
_atom_site_label
_atom_site_type_symbol
_atom_site_fract_x
_atom_site_fract_y
_atom_site_fract_z
Mo1 Mo 0.000 0.000 0.000
Os1 Os 0.000 0.500 0.500
W1 W 0.500 0.500 0.500
```

Most stable = <A>

<A>
Below is an optimized crystal structure of YMo2Os2, with properties calculated at the PBE-GGA level.

Structure (CIF):
```
data_YMo2Os2
_cell_length_a 7.782
_cell_length_b 7.782
_cell_length_c 2.873
_cell_angle_alpha 90.00
_cell_angle_beta 90.00
_cell_angle_gamma 90.00
_symmetry_space_group_name_H-M 'P 4/m b m'
_symmetry_Int_Tables_number 127
_symmetry_space_group_name_Hall '-P 4 2ab'
loop_
_atom_site_label
_atom_site_type_symbol
_atom_site_fract_x
_atom_site_fract_y
_atom_site_fract_z
Y1 Y 0.000 0.000 0.000
Mo1 Mo 0.150 0.350 0.000
Os1 Os 0.140 0.640 0.500
```

<B>
Below is an optimized crystal structure of YMo2Os2, with properties calculated at the PBE-GGA level.

Structure (CIF):
```
data_YMo2Os2
_cell_length_a 4.321
_cell_length_b 4.321
_cell_length_c 10.504
_cell_angle_alpha 90.00
_cell_angle_beta 90.00
_cell_angle_gamma 90.00
_symmetry_space_group_name_H-M 'I 4/m m m'
_symmetry_Int_Tables_number 139
_symmetry_space_group_name_Hall '-I 4 2'
loop_
_atom_site_label
_atom_site_type_symbol
_atom_site_fract_x
_atom_site_fract_y
_atom_site_fract_z
Y1 Y 0.000 0.000 0.000
Mo1 Mo 0.000 0.000 0.376
Os1 Os 0.000 0.500 0.250
```

Most stable = <A>

<A>
Below is an optimized crystal structure of ZnMoOs, with properties calculated at the PBE-GGA level.

Structure (CIF):
```
data_ZnMoOs
_cell_length_a 2.847
_cell_length_b 3.783
_cell_length_c 8.184
_cell_angle_alpha 90.00
_cell_angle_beta 90.00
_cell_angle_gamma 90.00
_symmetry_space_group_name_H-M 'I m m 2'
_symmetry_Int_Tables_number 44
loop_
_symmetry_equiv_pos_as_xyz
'x,y,z'
'-x,-y,z'
'-x,y,z'
'x,-y,z'
'x+1/2,y+1/2,z+1/2'
'-x+1/2,-y+1/2,z+1/2'
'-x+1/2,y+1/2,z+1/2'
'x+1/2,-y+1/2,z+1/2'
loop_
_atom_site_label
_atom_site_type_symbol
_atom_site_fract_x
_atom_site_fract_y
_atom_site_fract_z
Zn1 Zn 0.000 0.000 0.000
Mo1 Mo 0.000 0.000 0.672
Os1 Os 0.000 0.000 0.334
```

<B>
Below is an optimized crystal structure of ZnMoOs, with properties calculated at the PBE-GGA level.

Structure (CIF):
```
data_ZnMoOs
_cell_length_a 2.7864
_cell_length_b 2.7864
_cell_length_c 6.6988
_cell_angle_alpha 90.00
_cell_angle_beta 90.00
_cell_angle_gamma 120.00
_symmetry_space_group_name_H-M 'P 3 m 1'
_symmetry_Int_Tables_number 156
loop_
_symmetry_equiv_pos_as_xyz
'x,y,z'
'-y,x-y,z'
'-x+y,-x,z'
'-y,-x,z'
'-x+y,y,z'
'x,x-y,z'
loop_
_atom_site_label
_atom_site_type_symbol
_atom_site_fract_x
_atom_site_fract_y
_atom_site_fract_z
Zn1 Zn 0.0000 0.0000 0.0000
Mo1 Mo 0.3333 0.6667 0.3490
Os1 Os 0.6667 0.3333 0.6638
```

Most stable = <B>

<A>
Below is an optimized crystal structure of ZnMoOs, with properties calculated at the PBE-GGA level.

Structure (CIF):
```
data_ZnMoOs
_cell_length_a 2.777
_cell_length_b 2.777
_cell_length_c 11.541
_cell_angle_alpha 90.00
_cell_angle_beta 90.00
_cell_angle_gamma 90.00
_symmetry_space_group_name_H-M 'P 4/n m m'
_symmetry_Int_Tables_number 129
loop_
_symmetry_equiv_pos_as_xyz
'x,y,z'
'-x,-y,-z'
'-y+1/2,x,z'
'y+1/2,-x,-z'
'-x+1/2,-y+1/2,z'
'x+1/2,y+1/2,-z'
'y,-x+1/2,z'
'-y,x+1/2,-z'
'x+1/2,-y,-z'
'-x+1/2,y,z'
'-y,-x,-z'
'y,x,z'
'-x,y+1/2,-z'
'x,-y+1/2,z'
'y+1/2,x+1/2,-z'
'-y+1/2,-x+1/2,z'
loop_
_atom_site_label
_atom_site_type_symbol
_atom_site_fract_x
_atom_site_fract_y
_atom_site_fract_z
Zn1 Zn 0.250 0.250 0.080
Mo1 Mo 0.250 0.250 0.749
Os1 Os 0.250 0.250 0.419
```

<B>
Below is an optimized crystal structure of ZnMoOs, with properties calculated at the PBE-GGA level.

Structure (CIF):
```
data_ZnMoOs
_cell_length_a 2.967
_cell_length_b 4.518
_cell_length_c 13.517
_cell_angle_alpha 90.00
_cell_angle_beta 90.00
_cell_angle_gamma 90.00
_symmetry_space_group_name_H-M 'F m m 2'
_symmetry_Int_Tables_number 42
_symmetry_space_group_name_Hall 'F 2 -2'
loop_
_atom_site_label
_atom_site_type_symbol
_atom_site_fract_x
_atom_site_fract_y
_atom_site_fract_z
Zn1 Zn 0.000 0.000 0.000
Mo1 Mo 0.000 0.000 0.329
Os1 Os 0.000 0.000 0.668
```

Most stable = <A>

<A>
Below is an optimized crystal structure of Zn2Mo2Os, with properties calculated at the PBE-GGA level.

Structure (CIF):
```
data_Zn2Mo2Os
_cell_length_a 6.912
_cell_length_b 6.912
_cell_length_c 3.312
_cell_angle_alpha 90.00
_cell_angle_beta 90.00
_cell_angle_gamma 90.00
_symmetry_space_group_name_H-M 'P 4/m b m'
_symmetry_Int_Tables_number 127
_symmetry_space_group_name_Hall '-P 4 2ab'
loop_
_atom_site_label
_atom_site_type_symbol
_atom_site_fract_x
_atom_site_fract_y
_atom_site_fract_z
Zn1 Zn 0.177 0.323 0.000
Mo1 Mo 0.122 0.622 0.500
Os1 Os 0.000 0.000 0.500
```

<B>
Below is an optimized crystal structure of Zn2Mo2Os, with properties calculated at the PBE-GGA level.

Structure (CIF):
```
data_Zn2Mo2Os
_cell_length_a 3.346
_cell_length_b 3.346
_cell_length_c 14.371
_cell_angle_alpha 90.00
_cell_angle_beta 90.00
_cell_angle_gamma 90.00
_symmetry_space_group_name_H-M 'I 4/m m m'
_symmetry_Int_Tables_number 139
_symmetry_space_group_name_Hall '-I 4 2'
loop_
_atom_site_label
_atom_site_type_symbol
_atom_site_fract_x
_atom_site_fract_y
_atom_site_fract_z
Zn1 Zn 0.000 0.500 0.250
Mo1 Mo 0.000 0.000 0.090
Os1 Os 0.000 0.000 0.500
```

Most stable = <B>

<A>
Below is an optimized crystal structure of Mo3P2, with properties calculated at the PBE-GGA level.

Structure (CIF):
```
data_Mo3P2
_cell_length_a 4.907
_cell_length_b 8.764
_cell_length_c 13.441
_cell_angle_alpha 90.00
_cell_angle_beta 90.00
_cell_angle_gamma 90.00
_symmetry_space_group_name_H-M 'F d d d'
_symmetry_Int_Tables_number 70
loop_
_symmetry_equiv_pos_as_xyz
'x,y,z'
'-x,-y,-z'
'-x+1/4,-y+1/4,z'
'x+1/4,y+1/4,-z'
'x,-y+1/4,-z+1/4'
'-x,y+1/4,z+1/4'
'-x+1/4,y,-z+1/4'
'x+1/4,-y,z+1/4'
'x,y+1/2,z+1/2'
'-x,-y+1/2,-z+1/2'
'-x+1/4,-y+3/4,z+1/2'
'x+1/4,y+3/4,-z+1/2'
'x,-y+3/4,-z+3/4'
'-x,y+3/4,z+3/4'
'-x+1/4,y+1/2,-z+3/4'
'x+1/4,-y+1/2,z+3/4'
'x+1/2,y,z+1/2'
'-x+1/2,-y,-z+1/2'
'-x+3/4,-y+1/4,z+1/2'
'x+3/4,y+1/4,-z+1/2'
'x+1/2,-y+1/4,-z+3/4'
'-x+1/2,y+1/4,z+3/4'
'-x+3/4,y,-z+3/4'
'x+3/4,-y,z+3/4'
'x+1/2,y+1/2,z'
'-x+1/2,-y+1/2,-z'
'-x+3/4,-y+3/4,z'
'x+3/4,y+3/4,-z'
'x+1/2,-y+3/4,-z+1/4'
'-x+1/2,y+3/4,z+1/4'
'-x+3/4,y+1/2,-z+1/4'
'x+3/4,-y+1/2,z+1/4'
loop_
_atom_site_label
_atom_site_type_symbol
_atom_site_fract_x
_atom_site_fract_y
_atom_site_fract_z
Mo1 Mo 0.125 0.125 0.004
Mo2 Mo 0.125 0.125 0.625
P1 P 0.125 0.125 0.435
```

<B>
Below is an optimized crystal structure of Mo3P2, with properties calculated at the PBE-GGA level.

Structure (CIF):
```
data_Mo3P2
_cell_length_a 2.9822
_cell_length_b 2.9822
_cell_length_c 28.7005
_cell_angle_alpha 90.00
_cell_angle_beta 90.00
_cell_angle_gamma 120.00
_symmetry_space_group_name_H-M 'R -3 m'
_symmetry_Int_Tables_number 166
_symmetry_space_group_name_Hall '-R 3 2"'
loop_
_atom_site_label
_atom_site_type_symbol
_atom_site_fract_x
_atom_site_fract_y
_atom_site_fract_z
Mo1 Mo 0.0000 0.0000 0.0000
Mo2 Mo 0.0000 0.0000 0.2057
P1 P 0.0000 0.0000 0.3982
```

Most stable = <A>

<A>
Below is an optimized crystal structure of MoP5, with properties calculated at the PBE-GGA level.

Structure (CIF):
```
data_MoP5
_cell_length_a 7.016
_cell_length_b 7.016
_cell_length_c 7.016
_cell_angle_alpha 90.00
_cell_angle_beta 90.00
_cell_angle_gamma 90.00
_symmetry_space_group_name_H-M 'F -4 3 m'
_symmetry_Int_Tables_number 216
_symmetry_space_group_name_Hall 'F -4 2 3'
loop_
_atom_site_label
_atom_site_type_symbol
_atom_site_fract_x
_atom_site_fract_y
_atom_site_fract_z
Mo1 Mo 0.000 0.000 0.000
P1 P 0.123 0.123 0.377
P2 P 0.250 0.250 0.750
```

<B>
Below is an optimized crystal structure of MoP5, with properties calculated at the PBE-GGA level.

Structure (CIF):
```
data_MoP5
_cell_length_a 3.189
_cell_length_b 3.189
_cell_length_c 9.892
_cell_angle_alpha 90.00
_cell_angle_beta 90.00
_cell_angle_gamma 90.00
_symmetry_space_group_name_H-M 'P 4/m m m'
_symmetry_Int_Tables_number 123
_symmetry_space_group_name_Hall '-P 4 2'
loop_
_atom_site_label
_atom_site_type_symbol
_atom_site_fract_x
_atom_site_fract_y
_atom_site_fract_z
Mo1 Mo 0.000 0.000 0.000
P1 P 0.000 0.000 0.387
P2 P 0.500 0.500 0.124
P3 P 0.500 0.500 0.500
```

Most stable = <B>

<A>
Below is an optimized crystal structure of MoP5, with properties calculated at the PBE-GGA level.

Structure (CIF):
```
data_MoP5
_cell_length_a 9.065
_cell_length_b 3.206
_cell_length_c 6.784
_cell_angle_alpha 90.00
_cell_angle_beta 110.55
_cell_angle_gamma 90.00
_symmetry_space_group_name_H-M 'C 1 m 1'
_symmetry_Int_Tables_number 8
loop_
_symmetry_equiv_pos_as_xyz
'x,y,z'
'x,-y,z'
'x+1/2,y+1/2,z'
'x+1/2,-y+1/2,z'
loop_
_atom_site_label
_atom_site_type_symbol
_atom_site_fract_x
_atom_site_fract_y
_atom_site_fract_z
Mo1 Mo 0.000 0.000 0.000
P1 P 0.018 0.500 0.289
P2 P 0.066 0.000 0.676
P3 P 0.228 0.500 0.089
P4 P 0.279 0.500 0.443
P5 P 0.314 0.000 0.712
```

<B>
Below is an optimized crystal structure of MoP5, with properties calculated at the PBE-GGA level.

Structure (CIF):
```
data_MoP5
_cell_length_a 4.373
_cell_length_b 3.247
_cell_length_c 14.082
_cell_angle_alpha 90.00
_cell_angle_beta 90.00
_cell_angle_gamma 90.00
_symmetry_space_group_name_H-M 'A m m 2'
_symmetry_Int_Tables_number 38
loop_
_symmetry_equiv_pos_as_xyz
'x,y,z'
'-x,-y,z'
'-x,y,z'
'x,-y,z'
'x,y+1/2,z+1/2'
'-x,-y+1/2,z+1/2'
'-x,y+1/2,z+1/2'
'x,-y+1/2,z+1/2'
loop_
_atom_site_label
_atom_site_type_symbol
_atom_site_fract_x
_atom_site_fract_y
_atom_site_fract_z
Mo1 Mo 0.000 0.000 0.000
P1 P 0.000 0.000 0.364
P2 P 0.000 0.000 0.639
P3 P 0.500 0.000 0.302
P4 P 0.500 0.000 0.567
P5 P 0.500 0.000 0.921
```

Most stable = <A>

<A>
Below is an optimized crystal structure of Mo5P, with properties calculated at the PBE-GGA level.

Structure (CIF):
```
data_Mo5P
_cell_length_a 9.836
_cell_length_b 3.164
_cell_length_c 6.175
_cell_angle_alpha 90.00
_cell_angle_beta 109.56
_cell_angle_gamma 90.00
_symmetry_space_group_name_H-M 'C 1 2/m 1'
_symmetry_Int_Tables_number 12
loop_
_symmetry_equiv_pos_as_xyz
'x,y,z'
'-x,-y,-z'
'-x,y,-z'
'x,-y,z'
'x+1/2,y+1/2,z'
'-x+1/2,-y+1/2,-z'
'-x+1/2,y+1/2,-z'
'x+1/2,-y+1/2,z'
loop_
_atom_site_label
_atom_site_type_symbol
_atom_site_fract_x
_atom_site_fract_y
_atom_site_fract_z
Mo1 Mo 0.000 0.000 0.000
Mo2 Mo 0.162 0.500 0.825
Mo3 Mo 0.166 0.500 0.337
P1 P 0.000 0.000 0.500
```

<B>
Below is an optimized crystal structure of Mo5P, with properties calculated at the PBE-GGA level.

Structure (CIF):
```
data_Mo5P
_cell_length_a 3.169
_cell_length_b 12.959
_cell_length_c 4.405
_cell_angle_alpha 90.00
_cell_angle_beta 90.00
_cell_angle_gamma 90.00
_symmetry_space_group_name_H-M 'C m m m'
_symmetry_Int_Tables_number 65
_symmetry_space_group_name_Hall '-C 2 2'
loop_
_atom_site_label
_atom_site_type_symbol
_atom_site_fract_x
_atom_site_fract_y
_atom_site_fract_z
Mo1 Mo 0.000 0.000 0.000
Mo2 Mo 0.000 0.162 0.500
Mo3 Mo 0.000 0.335 0.000
P1 P 0.000 0.500 0.500
```

<C>
Below is an optimized crystal structure of Mo5P, with properties calculated at the PBE-GGA level.

Structure (CIF):
```
data_Mo5P
_cell_length_a 4.9814
_cell_length_b 4.9814
_cell_length_c 4.8450
_cell_angle_alpha 90.00
_cell_angle_beta 90.00
_cell_angle_gamma 120.00
_symmetry_space_group_name_H-M 'P 6/m m m'
_symmetry_Int_Tables_number 191
_symmetry_space_group_name_Hall '-P 6 2'
loop_
_atom_site_label
_atom_site_type_symbol
_atom_site_fract_x
_atom_site_fract_y
_atom_site_fract_z
Mo1 Mo 0.0000 0.5000 0.0000
Mo2 Mo 0.3333 0.6667 0.5000
P1 P 0.0000 0.0000 0.5000
```

Most stable = <A>

<A>
Below is an optimized crystal structure of Mo5P3, with properties calculated at the PBE-GGA level.

Structure (CIF):
```
data_Mo5P3
_cell_length_a 7.0850
_cell_length_b 7.0850
_cell_length_c 5.2064
_cell_angle_alpha 90.00
_cell_angle_beta 90.00
_cell_angle_gamma 120.00
_symmetry_space_group_name_H-M 'P 63/m c m'
_symmetry_Int_Tables_number 193
_symmetry_space_group_name_Hall '-P 6c 2'
loop_
_atom_site_label
_atom_site_type_symbol
_atom_site_fract_x
_atom_site_fract_y
_atom_site_fract_z
Mo1 Mo 0.0000 0.2405 0.2500
Mo2 Mo 0.3333 0.6667 0.0000
P1 P 0.0000 0.3891 0.7500
```

<B>
Below is an optimized crystal structure of Mo5P3, with properties calculated at the PBE-GGA level.

Structure (CIF):
```
data_Mo5P3
_cell_length_a 5.352
_cell_length_b 13.114
_cell_length_c 7.074
_cell_angle_alpha 90.00
_cell_angle_beta 112.11
_cell_angle_gamma 90.00
_symmetry_space_group_name_H-M 'C 1 m 1'
_symmetry_Int_Tables_number 8
loop_
_symmetry_equiv_pos_as_xyz
'x,y,z'
'x,-y,z'
'x+1/2,y+1/2,z'
'x+1/2,-y+1/2,z'
loop_
_atom_site_label
_atom_site_type_symbol
_atom_site_fract_x
_atom_site_fract_y
_atom_site_fract_z
Mo1 Mo 0.000 0.000 0.000
Mo2 Mo 0.001 0.500 0.001
Mo3 Mo 0.116 0.392 0.648
Mo4 Mo 0.182 0.175 0.785
Mo5 Mo 0.401 0.175 0.214
Mo6 Mo 0.468 0.393 0.352
P1 P 0.043 0.000 0.664
P2 P 0.212 0.332 0.000
P3 P 0.289 0.250 0.500
P4 P 0.380 0.000 0.336
```

Most stable = <B>

<A>
Below is an optimized crystal structure of PaMoP2, with properties calculated at the PBE-GGA level.

Structure (CIF):
```
data_PaMoP2
_cell_length_a 3.7832
_cell_length_b 3.7832
_cell_length_c 18.1630
_cell_angle_alpha 90.00
_cell_angle_beta 90.00
_cell_angle_gamma 120.00
_symmetry_space_group_name_H-M 'R 3 m'
_symmetry_Int_Tables_number 160
_symmetry_space_group_name_Hall 'R 3 -2"'
loop_
_atom_site_label
_atom_site_type_symbol
_atom_site_fract_x
_atom_site_fract_y
_atom_site_fract_z
Pa1 Pa 0.0000 0.0000 0.0000
Mo1 Mo 0.0000 0.0000 0.8181
P1 P 0.0000 0.0000 0.4289
P2 P 0.0000 0.0000 0.5712
```

<B>
Below is an optimized crystal structure of PaMoP2, with properties calculated at the PBE-GGA level.

Structure (CIF):
```
data_PaMoP2
_cell_length_a 3.186
_cell_length_b 3.186
_cell_length_c 6.546
_cell_angle_alpha 90.00
_cell_angle_beta 90.00
_cell_angle_gamma 90.00
_symmetry_space_group_name_H-M 'P 4/m m m'
_symmetry_Int_Tables_number 123
_symmetry_space_group_name_Hall '-P 4 2'
loop_
_atom_site_label
_atom_site_type_symbol
_atom_site_fract_x
_atom_site_fract_y
_atom_site_fract_z
Pa1 Pa 0.000 0.000 0.000
Mo1 Mo 0.000 0.000 0.500
P1 P 0.500 0.500 0.287
```

Most stable = <A>